No. 1
The following is a GGA-PBE calculation of a geometry-optimized NiRuCl structure, from Alexandria.

VASP energy, eV per atom: -5.07
Formation energy (no corrections), meV per atom: 566.9

Cell and atoms, written as extended XYZ:
```
3
Lattice="-5.3217 1.0307 -2.3107 -5.6879 -0.8788 1.2639 5.4390 1.7205 1.4763" Properties=species:S:1:pos:R:3 pbc="T T T"
Cl -0.1947 0.0027 -0.0185
Ru -7.4269 0.1024 -0.7061
Ni -3.3881 0.0467 -0.3221
```

=====

No. 2
The following is a GGA-PBE calculation of a geometry-optimized NiRuCl2 structure, from Alexandria.

VASP energy, eV per atom: -4.08
Formation energy (no corrections), meV per atom: 603.5

Cell and atoms, written as extended XYZ:
```
4
Lattice="6.3381 0.0291 0.0000 4.4551 4.5082 0.0000 -5.3966 -2.2686 2.4294" Properties=species:S:1:pos:R:3 pbc="T T T"
Cl 0.0000 0.0000 0.0000
Cl 2.2276 2.2541 1.2147
Ni 5.3966 2.2686 0.0000
Ru 3.1690 0.0145 1.2147
```

=====

No. 3
The following is a GGA-PBE calculation of a geometry-optimized NiRuCl2 structure, from Alexandria.

VASP energy, eV per atom: -4.17
Formation energy (no corrections), meV per atom: 513.5

Cell and atoms, written as extended XYZ:
```
4
Lattice="-4.0588 0.5549 -3.0944 2.4723 -3.5557 -2.7571 -1.6549 -2.6560 -0.3235" Properties=species:S:1:pos:R:3 pbc="T T T"
Cl -0.7932 -1.5004 -2.9257
Cl 0.0000 0.0000 0.0000
Ru 0.4087 -3.1058 -1.5403
Ni -2.8568 -1.0505 -1.7090
```

=====

No. 4
The following is a GGA-PBE calculation of a geometry-optimized NiRu2Cl structure, from Alexandria.

VASP energy, eV per atom: -5.68
Formation energy (no corrections), meV per atom: 860.0

Cell and atoms, written as extended XYZ:
```
4
Lattice="0.0000 2.9944 2.9944 2.9944 0.0000 2.9944 2.9944 2.9944 0.0000" Properties=species:S:1:pos:R:3 pbc="T T T"
Cl 0.0000 0.0000 0.0000
Ni 2.9944 2.9944 2.9944
Ru 1.4972 1.4972 1.4972
Ru 4.4916 4.4916 4.4916
```

=====

No. 5
The following is a GGA-PBE calculation of a geometry-optimized NiRu3Cl structure, from Alexandria.

VASP energy, eV per atom: -5.78
Formation energy (no corrections), meV per atom: 1311.9

Cell and atoms, written as extended XYZ:
```
5
Lattice="-1.0479 -2.2285 -3.5309 0.6200 -3.6831 2.1405 -4.1290 0.0125 1.2175" Properties=species:S:1:pos:R:3 pbc="T T T"
Ru -0.5240 -1.1142 -1.7655
Ru 0.3100 -1.8416 1.0703
Ru -2.0645 0.0063 0.6088
Ni -2.2785 -2.9495 -0.0864
Cl 0.0000 0.0000 0.0000
```

=====

No. 6
The following is a GGA-PBE calculation of a geometry-optimized NiRu2Cl structure, from Alexandria.

VASP energy, eV per atom: -5.96
Formation energy (no corrections), meV per atom: 582.6

Cell and atoms, written as extended XYZ:
```
4
Lattice="2.8138 -0.0003 0.0000 -1.4246 2.4265 0.0000 0.0000 0.0000 8.4338" Properties=species:S:1:pos:R:3 pbc="T T T"
Ru 0.0000 0.0000 8.3723
Ru 0.6946 1.2131 2.1159
Ni 0.6946 1.2131 6.2610
Cl 0.0000 0.0000 4.3352
```

=====

No. 7
The following is a GGA-PBE calculation of a geometry-optimized NiRu2Cl structure, from Alexandria.

VASP energy, eV per atom: -5.41
Formation energy (no corrections), meV per atom: 1130.8

Cell and atoms, written as extended XYZ:
```
8
Lattice="-1.3962 -1.3211 4.6321 2.6870 -4.2163 -0.3926 5.2261 -0.0502 4.2757" Properties=species:S:1:pos:R:3 pbc="T T T"
Ni 2.2377 -2.0700 5.5138
Ni 0.0000 0.0000 0.0000
Ru 2.7900 -2.8331 1.4736
Ru 0.7912 -1.3451 3.8439
Ru 5.0079 -4.8183 6.9224
Ru 4.4448 -2.1788 4.7906
Cl 4.2793 -3.5176 3.0014
Cl 0.6454 -2.7687 2.1198
```

=====

No. 8
The following is a GGA-PBE calculation of a geometry-optimized NiRu2Cl structure, from Alexandria.

VASP energy, eV per atom: -5.74
Formation energy (no corrections), meV per atom: 807.2

Cell and atoms, written as extended XYZ:
```
4
Lattice="-1.1242 1.6602 1.8602 -3.5052 -3.0320 0.5878 2.2937 -2.0314 3.1992" Properties=species:S:1:pos:R:3 pbc="T T T"
Ru -2.3147 -0.6859 1.2240
Ru 0.0000 0.0000 0.0000
Ni -0.6058 -2.5317 1.8935
Cl 0.5847 -0.1856 2.5297
```

=====

| no. | excess energy over the best structure of this formula in the dataset (meV per atom) | calculated volume (A^3/atom) |
| --- | --- | --- |
| 1 | 148.0 | 15.26 |
| 2 | 395.2 | 17.28 |
| 3 | 305.3 | 16.64 |
| 4 | 509.8 | 13.42 |
| 5 | 0.0 | 15.96 |
| 6 | 232.5 | 14.39 |
| 7 | 780.6 | 18.07 |
| 8 | 457.0 | 14.15 |